# 1
A relaxed RbSmGdS3 crystal. Source: OQMD, functional GGA-PBE.

Properties
Crystal system: orthorhombic
Space group: Cmcm, No. 63
DFT total energy in eV per atom: -5.42

CIF file:
```
data_RbSmGdS3
_chemical_formula_sum 'Rb2 Sm2 Gd2 S6'
_cell_length_a 8.002
_cell_length_b 8.002
_cell_length_c 11.020
_cell_angle_alpha 90.00
_cell_angle_beta 90.00
_cell_angle_gamma 147.42
_symmetry_space_group_name_H-M 'P 1'
_symmetry_Int_Tables_number 1
_symmetry_space_group_name_Hall 'P 1'
loop_
_atom_site_label
_atom_site_fract_x
_atom_site_fract_y
_atom_site_fract_z
_atom_site_occupancy
Rb1 0.236 0.764 0.750 1
Rb2 0.764 0.236 0.250 1
Sm1 0.500 0.500 0.000 1
Sm2 0.500 0.500 0.500 1
Gd1 0.030 0.970 0.250 1
Gd2 0.970 0.030 0.750 1
S1 0.117 0.883 0.047 1
S2 0.117 0.883 0.453 1
S3 0.441 0.559 0.250 1
S4 0.559 0.441 0.750 1
S5 0.883 0.117 0.547 1
S6 0.883 0.117 0.953 1
```



# 2
A relaxed RbGdSnS3 crystal. Source: OQMD, functional GGA-PBE.

Properties
Crystal system: orthorhombic
Space group: Cmcm, No. 63
DFT total energy in eV per atom: -4.93

CIF file:
```
data_RbGdSnS3
_chemical_formula_sum 'Rb2 Gd2 Sn2 S6'
_cell_length_a 8.631
_cell_length_b 8.631
_cell_length_c 11.451
_cell_angle_alpha 90.00
_cell_angle_beta 90.00
_cell_angle_gamma 153.10
_symmetry_space_group_name_H-M 'P 1'
_symmetry_Int_Tables_number 1
_symmetry_space_group_name_Hall 'P 1'
loop_
_atom_site_label
_atom_site_fract_x
_atom_site_fract_y
_atom_site_fract_z
_atom_site_occupancy
Rb1 0.181 0.819 0.750 1
Rb2 0.819 0.181 0.250 1
Gd1 0.500 0.500 0.000 1
Gd2 0.500 0.500 0.500 1
Sn1 0.115 0.885 0.250 1
Sn2 0.885 0.115 0.750 1
S1 0.111 0.889 0.008 1
S2 0.111 0.889 0.492 1
S3 0.490 0.510 0.750 1
S4 0.510 0.490 0.250 1
S5 0.889 0.111 0.508 1
S6 0.889 0.111 0.992 1
```



# 3
A relaxed RbSrGdS3 crystal. Source: OQMD, functional GGA-PBE.

Properties
Crystal system: monoclinic
Space group: C2/m, No. 12
DFT total energy in eV per atom: -5.08

CIF file:
```
data_RbSrGdS3
_chemical_formula_sum 'Rb2 Sr2 Gd2 S6'
_cell_length_a 9.421
_cell_length_b 9.421
_cell_length_c 11.822
_cell_angle_alpha 118.99
_cell_angle_beta 118.99
_cell_angle_gamma 25.16
_symmetry_space_group_name_H-M 'P 1'
_symmetry_Int_Tables_number 1
_symmetry_space_group_name_Hall 'P 1'
loop_
_atom_site_label
_atom_site_fract_x
_atom_site_fract_y
_atom_site_fract_z
_atom_site_occupancy
Rb1 0.050 0.050 0.249 1
Rb2 0.950 0.950 0.751 1
Sr1 0.385 0.385 0.323 1
Sr2 0.615 0.615 0.677 1
Gd1 0.333 0.333 0.937 1
Gd2 0.667 0.667 0.063 1
S1 0.000 0.000 0.500 1
S2 0.156 0.156 0.884 1
S3 0.213 0.213 0.237 1
S4 0.500 0.500 0.000 1
S5 0.787 0.787 0.763 1
S6 0.844 0.844 0.116 1
```



# 4
A relaxed Rb2Gd2TeS3 crystal. Source: OQMD, functional GGA-PBE.

Properties
Crystal system: trigonal
Space group: P3m1, No. 156
DFT total energy in eV per atom: -5.06

CIF file:
```
data_Rb2Gd2TeS3
_chemical_formula_sum 'Rb2 Gd2 Te1 S3'
_cell_length_a 4.202
_cell_length_b 4.202
_cell_length_c 15.882
_cell_angle_alpha 90.00
_cell_angle_beta 90.00
_cell_angle_gamma 120.00
_symmetry_space_group_name_H-M 'P 1'
_symmetry_Int_Tables_number 1
_symmetry_space_group_name_Hall 'P 1'
loop_
_atom_site_label
_atom_site_fract_x
_atom_site_fract_y
_atom_site_fract_z
_atom_site_occupancy
Rb1 0.000 0.000 0.000 1
Rb2 0.333 0.667 0.523 1
Gd1 0.667 0.333 0.285 1
Gd2 0.667 0.333 0.762 1
Te1 0.333 0.667 0.166 1
S1 0.000 0.000 0.375 1
S2 0.000 0.000 0.670 1
S3 0.333 0.667 0.853 1
```



# 5
A relaxed Rb2Gd2Te3S crystal. Source: OQMD, functional GGA-PBE.

Properties
Crystal system: trigonal
Space group: P3m1, No. 156
DFT total energy in eV per atom: -4.58

CIF file:
```
data_Rb2Gd2Te3S
_chemical_formula_sum 'Rb2 Gd2 Te3 S1'
_cell_length_a 4.422
_cell_length_b 4.422
_cell_length_c 16.807
_cell_angle_alpha 90.00
_cell_angle_beta 90.00
_cell_angle_gamma 120.00
_symmetry_space_group_name_H-M 'P 1'
_symmetry_Int_Tables_number 1
_symmetry_space_group_name_Hall 'P 1'
loop_
_atom_site_label
_atom_site_fract_x
_atom_site_fract_y
_atom_site_fract_z
_atom_site_occupancy
Rb1 0.000 0.000 0.000 1
Rb2 0.333 0.667 0.479 1
Gd1 0.667 0.333 0.261 1
Gd2 0.667 0.333 0.740 1
Te1 0.000 0.000 0.633 1
Te2 0.333 0.667 0.153 1
Te3 0.333 0.667 0.845 1
S1 0.000 0.000 0.339 1
```



# 6
A relaxed Rb2GdTmS4 crystal. Source: OQMD, functional GGA-PBE.

Properties
Crystal system: trigonal
Space group: P-3m1, No. 164
DFT total energy in eV per atom: -5.29

CIF file:
```
data_Rb2GdTmS4
_chemical_formula_sum 'Rb2 Gd1 Tm1 S4'
_cell_length_a 4.060
_cell_length_b 4.060
_cell_length_c 15.353
_cell_angle_alpha 90.00
_cell_angle_beta 90.00
_cell_angle_gamma 120.00
_symmetry_space_group_name_H-M 'P 1'
_symmetry_Int_Tables_number 1
_symmetry_space_group_name_Hall 'P 1'
loop_
_atom_site_label
_atom_site_fract_x
_atom_site_fract_y
_atom_site_fract_z
_atom_site_occupancy
Rb1 0.333 0.667 0.248 1
Rb2 0.667 0.333 0.752 1
Gd1 0.000 0.000 0.500 1
Tm1 0.000 0.000 0.000 1
S1 0.333 0.667 0.598 1
S2 0.333 0.667 0.906 1
S3 0.667 0.333 0.094 1
S4 0.667 0.333 0.402 1
```



Q: Look up the DFT total energy of the sixth one.
A: -5.29 eV per atom



Q: Look up the DFT total energy of the fourth one.
A: -5.06 eV per atom



Q: DFT total energy of number 6 (Rb2GdTmS4)?
A: -5.29 eV per atom



Q: Number 4 is which compound?
A: Rb2Gd2TeS3